1.
The following is a PBE-GGA calculation of a relaxed structure of Cu7As, from OQMD via LeMat-Bulk.

Cell: 2.588 3.556 22.445 Å, 90.00 90.00 90.00°
Fractional positions:
As 0.000 0.000 0.065
As 0.500 0.500 0.935
Cu 0.500 0.500 0.126
Cu 0.000 0.000 0.185
Cu 0.500 0.500 0.242
Cu 0.000 0.000 0.299
Cu 0.500 0.500 0.357
Cu 0.000 0.000 0.414
Cu 0.500 0.500 0.471
Cu 0.000 0.000 0.529
Cu 0.500 0.500 0.586
Cu 0.000 0.000 0.643
Cu 0.500 0.500 0.701
Cu 0.000 0.000 0.758
Cu 0.500 0.500 0.815
Cu 0.000 0.000 0.874

E above lowest polymorph ... 0 meV/atom
Calculated density ... 8.4 Mg/m³
Symmetry ... Pmmn (59)
E_tot ... -0.1395 hartree per atom

---

2.
The following is a PBE-GGA calculation of a relaxed structure of LaGe2W2, from OQMD via LeMat-Bulk.

Cell: 11.214 11.214 4.484 Å, 100.65 100.65 22.50°
Fractional positions:
Ge 0.724 0.724 0.048
Ge 0.395 0.395 0.145
Ge 0.605 0.605 0.855
Ge 0.276 0.276 0.952
La 0.157 0.157 0.414
La 0.843 0.843 0.586
W 0.968 0.968 0.202
W 0.535 0.535 0.295
W 0.465 0.465 0.705
W 0.032 0.032 0.798

Calculated density ... 10.2 Mg/m³
Magnetic moment ... 0.0 μB per cell
Symmetry ... C2/m (12)
E_tot ... -0.3022 hartree per atom

---

3.
The following is a PBE-GGA calculation of a relaxed structure of NbBiN2O, from OQMD via LeMat-Bulk.

Cell: 5.765 7.869 5.845 Å, 90.00 90.00 90.00°
Fractional positions:
Bi 0.498 0.750 0.048
Bi 0.998 0.750 0.452
Bi 0.002 0.250 0.548
Bi 0.502 0.250 0.952
N 0.748 0.560 0.248
N 0.748 0.940 0.248
N 0.248 0.560 0.252
N 0.248 0.940 0.252
N 0.752 0.060 0.748
N 0.752 0.440 0.748
N 0.252 0.060 0.752
N 0.252 0.440 0.752
Nb 0.000 0.000 0.000
Nb 0.000 0.500 0.000
Nb 0.500 0.000 0.500
Nb 0.500 0.500 0.500
O 0.999 0.250 0.092
O 0.499 0.250 0.408
O 0.501 0.750 0.592
O 0.001 0.750 0.908

Calculated density ... 8.7 Mg/m³
Magnetic moment ... 0.0 μB per cell
Symmetry ... Pnma (62)
E_tot ... -0.2870 hartree per atom

---

4.
The following is a PBE-GGA calculation of a relaxed structure of BePPtO, from OQMD via LeMat-Bulk.

Cell: 3.540 3.540 7.685 Å, 90.00 90.00 90.00°
Fractional positions:
Be 0.000 0.000 0.500
Be 0.500 0.500 0.500
O 0.000 0.000 0.000
O 0.500 0.500 0.000
P 0.500 0.000 0.319
P 0.000 0.500 0.681
Pt 0.000 0.500 0.169
Pt 0.500 0.000 0.831

E above lowest polymorph ... 1254 meV/atom
Calculated density ... 8.7 Mg/m³
Magnetic moment ... 0.3 μB per cell
Symmetry ... P4/nmm (129)
E_tot ... -0.1736 hartree per atom

---

5.
The following is a PBE-GGA calculation of a relaxed structure of PaP2Os2, from OQMD via LeMat-Bulk.

Cell: 4.161 4.154 9.353 Å, 90.00 93.54 90.00°
Fractional positions:
Os 0.662 0.250 0.103
Os 0.751 0.750 0.499
Os 0.249 0.250 0.501
Os 0.338 0.750 0.897
P 0.837 0.750 0.012
P 0.731 0.250 0.359
P 0.269 0.750 0.641
P 0.163 0.250 0.988
Pa 0.224 0.750 0.258
Pa 0.776 0.250 0.742

Calculated density ... 13.9 Mg/m³
Magnetic moment ... 0.0 μB per cell
Symmetry ... P2_1/m (11)
E_tot ... -0.3403 hartree per atom

---

6.
The following is a PBE-GGA calculation of a relaxed structure of TbYPd2, from OQMD via LeMat-Bulk.

Cell: 4.480 5.705 6.933 Å, 90.00 90.00 90.00°
Fractional positions:
Pd 0.500 0.098 0.043
Pd 0.000 0.597 0.457
Pd 0.500 0.902 0.543
Pd 0.000 0.403 0.957
Tb 0.500 0.609 0.181
Tb 0.500 0.391 0.681
Y 0.000 0.109 0.319
Y 0.000 0.891 0.819

Calculated density ... 8.6 Mg/m³
Formation energy ... -0.91 eV per atom
Magnetic moment ... 0.0 μB per cell
Symmetry ... Pmc2_1 (26)
E_tot ... -0.2304 hartree per atom

---

- Look up the E_tot of the fifth one.
  -0.3403 hartree per atom

---

- What is the formula in the first record?
  Cu7As

---

Please write out number 6 again, unchanged.
The following is a PBE-GGA calculation of a relaxed structure of TbYPd2, from OQMD via LeMat-Bulk.

Cell: 4.480 5.705 6.933 Å, 90.00 90.00 90.00°
Fractional positions:
Pd 0.500 0.098 0.043
Pd 0.000 0.597 0.457
Pd 0.500 0.902 0.543
Pd 0.000 0.403 0.957
Tb 0.500 0.609 0.181
Tb 0.500 0.391 0.681
Y 0.000 0.109 0.319
Y 0.000 0.891 0.819

Calculated density ... 8.6 Mg/m³
Formation energy ... -0.91 eV per atom
Magnetic moment ... 0.0 μB per cell
Symmetry ... Pmc2_1 (26)
E_tot ... -0.2304 hartree per atom

---

- Look up the calculated density of the first one.
  8.4 Mg/m³